Here is LiCuAg2 after structural relaxation from Alexandria. Energies are from PBE.

abc: 9.614 9.614 9.614
angles: 156.72 156.72 33.16
Positions (direct):
Li: 0.000 0.000 0.000
Li: 0.750 0.250 0.500
Cu: 0.250 0.750 0.500
Cu: 0.500 0.500 0.000
Ag: 0.129 0.625 0.004
Ag: 0.375 0.379 0.504
Ag: 0.621 0.125 0.996
Ag: 0.875 0.871 0.496

Calculated values
**Final energy**: -2.77 eV/atom
**Total moment**: 0.000 Bohr magnetons per cell
**Crystal system**: tetragonal
**SG**: No. 122

***

Here is Ac2TbAs3Rh12 after structural relaxation from Alexandria. Energies are from PBE.

abc: 6.910 6.910 6.910
angles: 84.34 84.34 84.34
Positions (direct):
Ac: 0.143 0.143 0.143
Ac: 0.857 0.857 0.857
Tb: 0.500 0.500 0.500
As: 0.000 0.500 0.500
As: 0.500 0.000 0.500
As: 0.500 0.500 0.000
Rh: 0.125 0.125 0.601
Rh: 0.125 0.601 0.125
Rh: 0.181 0.683 0.683
Rh: 0.317 0.317 0.819
Rh: 0.317 0.819 0.317
Rh: 0.399 0.875 0.875
Rh: 0.601 0.125 0.125
Rh: 0.683 0.181 0.683
Rh: 0.683 0.683 0.181
Rh: 0.819 0.317 0.317
Rh: 0.875 0.399 0.875
Rh: 0.875 0.875 0.399

Calculated values
**Final energy**: -6.63 eV/atom
**Total moment**: 0.000 Bohr magnetons per cell
**Crystal system**: trigonal
**SG**: No. 166

***

Here is KGa3Hg3 after structural relaxation from Alexandria. Energies are from PBE.

abc: 7.645 7.645 7.645
angles: 90.00 90.00 90.00
Positions (direct):
K: 0.000 0.000 0.000
K: 0.500 0.500 0.500
Ga: 0.000 0.250 0.500
Ga: 0.000 0.750 0.500
Ga: 0.250 0.500 0.000
Ga: 0.500 0.000 0.250
Ga: 0.500 0.000 0.750
Ga: 0.750 0.500 0.000
Hg: 0.000 0.500 0.250
Hg: 0.000 0.500 0.750
Hg: 0.250 0.000 0.500
Hg: 0.500 0.250 0.000
Hg: 0.500 0.750 0.000
Hg: 0.750 0.000 0.500

Calculated values
**Final energy**: -1.53 eV/atom
**Total moment**: 0.000 Bohr magnetons per cell
**Crystal system**: cubic
**SG**: No. 223

***

Here is Ca2TbMg5 after structural relaxation from Alexandria. Energies are from PBE.

abc: 8.543 8.543 8.543
angles: 143.14 143.14 53.11
Positions (direct):
Ca: 0.247 0.247 0.000
Ca: 0.753 0.753 0.000
Tb: 0.500 0.500 0.000
Mg: 0.000 0.000 0.000
Mg: 0.115 0.615 0.500
Mg: 0.385 0.885 0.500
Mg: 0.615 0.115 0.500
Mg: 0.885 0.385 0.500

Calculated values
**Final energy**: -2.14 eV/atom
**Total moment**: 0.000 Bohr magnetons per cell
**Crystal system**: tetragonal
**SG**: No. 139

***

Here is Ac2Zn2CuPt5 after structural relaxation from Alexandria. Energies are from PBE.

abc: 10.029 10.029 3.827
angles: 90.00 90.00 90.00
Positions (direct):
Ac: 0.181 0.319 0.000
Ac: 0.319 0.819 0.000
Ac: 0.681 0.181 0.000
Ac: 0.819 0.681 0.000
Zn: 0.118 0.618 0.000
Zn: 0.382 0.118 0.000
Zn: 0.618 0.882 0.000
Zn: 0.882 0.382 0.000
Cu: 0.000 0.000 0.000
Cu: 0.500 0.500 0.000
Pt: 0.000 0.500 0.500
Pt: 0.057 0.799 0.500
Pt: 0.201 0.057 0.500
Pt: 0.299 0.557 0.500
Pt: 0.443 0.299 0.500
Pt: 0.500 0.000 0.500
Pt: 0.557 0.701 0.500
Pt: 0.701 0.443 0.500
Pt: 0.799 0.943 0.500
Pt: 0.943 0.201 0.500

Calculated values
**Final energy**: -5.13 eV/atom
**Total moment**: 0.000 Bohr magnetons per cell
**Crystal system**: tetragonal
**SG**: No. 127

***

Here is Li2Pd8Au3 after structural relaxation from Alexandria. Energies are from PBE.

abc: 5.483 6.363 6.966
angles: 113.78 99.78 102.99
Positions (direct):
Li: 0.200 0.063 0.337
Li: 0.800 0.937 0.663
Pd: 0.046 0.770 0.913
Pd: 0.166 0.336 0.756
Pd: 0.325 0.657 0.207
Pd: 0.436 0.211 0.063
Pd: 0.564 0.789 0.937
Pd: 0.675 0.343 0.793
Pd: 0.834 0.664 0.244
Pd: 0.954 0.230 0.087
Au: 0.267 0.880 0.619
Au: 0.500 0.500 0.500
Au: 0.733 0.120 0.381

Calculated values
**Energy above the most stable polymorph in this dataset**: 0.0000 eV per atom
**Total moment**: 0.000 Bohr magnetons per cell
**Crystal system**: triclinic
**SG**: No. 2

***

Q: Which value of total moment does entry 1 give?
A: 0.000 Bohr magnetons per cell